w) VASP calculation (PBE-GGA) on crystalline Tm3Zn4Ga4 at its relaxed geometry.

Unit cell a=8.1531 b=8.1531 c=8.1531 alpha=149.50 beta=131.03 gamma=58.80
Fractional coordinates of all 11 atoms:
Tm (0.0000, 0.0000, 0.0000)
Tm (0.3756, 0.8756, 0.5000)
Tm (0.6244, 0.1244, 0.5000)
Zn (0.0232, 0.3338, 0.6894)
Zn (0.3556, 0.6662, 0.6894)
Zn (0.6444, 0.3338, 0.3106)
Zn (0.9768, 0.6662, 0.3106)
Ga (0.2193, 0.2193, 0.0000)
Ga (0.3117, 0.5000, 0.8117)
Ga (0.6883, 0.5000, 0.1883)
Ga (0.7807, 0.7807, 0.0000)

Computed properties:
As for the density of states at the Fermi level: 0.41 states/eV per atom. The calculated volume is 18.72 Å³/atom. The space group is No. 71.

=====

x) VASP calculation (PBE-GGA) on crystalline Tm3Zn4Ga4 at its relaxed geometry.

Unit cell a=3.6387 b=4.3302 c=13.5017 alpha=99.15 beta=97.72 gamma=90.02
Fractional coordinates of all 11 atoms:
Tm (0.0000, 0.0000, 0.0000)
Tm (0.1441, 0.6432, 0.2877)
Tm (0.8559, 0.3568, 0.7123)
Zn (0.2570, 0.2583, 0.5141)
Zn (0.4061, 0.9066, 0.8123)
Zn (0.5939, 0.0934, 0.1877)
Zn (0.7430, 0.7417, 0.4859)
Ga (0.3122, 0.8140, 0.6250)
Ga (0.4515, 0.4519, 0.9036)
Ga (0.5485, 0.5481, 0.0964)
Ga (0.6878, 0.1860, 0.3750)

Computed properties:
As for the density of states at the Fermi level: 0.32 states/eV per atom. The calculated volume is 18.92 Å³/atom. The space group is No. 2.

=====

Which of them is the most stable, and which is the least stable? w) and x), in that order.

=====

w) VASP calculation (PBE-GGA) on crystalline Tm6ZnGa2 at its relaxed geometry.

Unit cell a=8.4711 b=8.4711 c=8.4711 alpha=146.54 beta=131.83 gamma=59.92
Fractional coordinates of all 9 atoms:
Tm (0.0820, 0.3340, 0.7481)
Tm (0.2466, 0.0000, 0.2466)
Tm (0.4141, 0.6660, 0.7481)
Tm (0.5859, 0.3340, 0.2519)
Tm (0.7534, 0.0000, 0.7534)
Tm (0.9180, 0.6660, 0.2519)
Zn (0.0000, 0.5000, 0.5000)
Ga (0.3331, 0.8331, 0.5000)
Ga (0.6669, 0.1669, 0.5000)

Computed properties:
As for the density of states at the Fermi level: 1.25 states/eV per atom. The calculated volume is 27.49 Å³/atom. The space group is No. 71.

=====

x) VASP calculation (PBE-GGA) on crystalline Tm6ZnGa2 at its relaxed geometry.

Unit cell a=8.4238 b=8.4238 c=8.4238 alpha=112.13 beta=111.26 gamma=105.11
Fractional coordinates of all 18 atoms:
Tm (0.0293, 0.8233, 0.2060)
Tm (0.2459, 0.5508, 0.3049)
Tm (0.2459, 0.9410, 0.6951)
Tm (0.2713, 0.3209, 0.5922)
Tm (0.2713, 0.6791, 0.9504)
Tm (0.3828, 0.1767, 0.2060)
Tm (0.6172, 0.8233, 0.7940)
Tm (0.7287, 0.3209, 0.0496)
Tm (0.7287, 0.6791, 0.4078)
Tm (0.7541, 0.0590, 0.3049)
Tm (0.7541, 0.4492, 0.6951)
Tm (0.9707, 0.1767, 0.7940)
Zn (0.0000, 0.5000, 0.5000)
Zn (0.5000, 0.0000, 0.5000)
Ga (0.0000, 0.1490, 0.1490)
Ga (0.0000, 0.8510, 0.8510)
Ga (0.3770, 0.3770, 0.0000)
Ga (0.6230, 0.6230, 0.0000)

Computed properties:
As for the density of states at the Fermi level: 0.71 states/eV per atom. The calculated volume is 25.45 Å³/atom. The space group is No. 71.

=====

Which of them is the most stable, and which is the least stable? x) and w), in that order.

=====

w) VASP calculation (PBE-GGA) on crystalline Tm5ZnGa2 at its relaxed geometry.

Unit cell a=5.8332 b=5.8332 c=15.1911 alpha=90.00 beta=90.00 gamma=126.81
Fractional coordinates of all 16 atoms:
Tm (0.0808, 0.9192, 0.5967)
Tm (0.0808, 0.9192, 0.9033)
Tm (0.3531, 0.6469, 0.2500)
Tm (0.3865, 0.6135, 0.5710)
Tm (0.3865, 0.6135, 0.9290)
Tm (0.6135, 0.3865, 0.0710)
Tm (0.6135, 0.3865, 0.4290)
Tm (0.6469, 0.3531, 0.7500)
Tm (0.9192, 0.0808, 0.0967)
Tm (0.9192, 0.0808, 0.4033)
Zn (0.2930, 0.7070, 0.7500)
Zn (0.7070, 0.2930, 0.2500)
Ga (0.2246, 0.7754, 0.0851)
Ga (0.2246, 0.7754, 0.4149)
Ga (0.7754, 0.2246, 0.5851)
Ga (0.7754, 0.2246, 0.9149)

Computed properties:
As for the density of states at the Fermi level: 0.62 states/eV per atom. The calculated volume is 25.87 Å³/atom. The space group is No. 63.

=====

x) VASP calculation (PBE-GGA) on crystalline Tm5ZnGa2 at its relaxed geometry.

Unit cell a=8.9061 b=8.9061 c=8.9061 alpha=130.75 beta=130.75 gamma=72.22
Fractional coordinates of all 16 atoms:
Tm (0.0000, 0.0000, 0.0000)
Tm (0.0233, 0.5233, 0.8412)
Tm (0.1820, 0.0233, 0.5000)
Tm (0.3180, 0.8180, 0.8412)
Tm (0.4767, 0.3180, 0.5000)
Tm (0.5000, 0.5000, 0.0000)
Tm (0.5233, 0.6820, 0.5000)
Tm (0.6820, 0.1820, 0.1588)
Tm (0.8180, 0.9767, 0.5000)
Tm (0.9767, 0.4767, 0.1588)
Zn (0.2500, 0.2500, 0.0000)
Zn (0.7500, 0.7500, 0.0000)
Ga (0.1226, 0.3774, 0.5000)
Ga (0.3774, 0.8774, 0.2548)
Ga (0.6226, 0.1226, 0.7452)
Ga (0.8774, 0.6226, 0.5000)

Computed properties:
As for the density of states at the Fermi level: 0.73 states/eV per atom. The calculated volume is 24.78 Å³/atom. The space group is No. 140.

=====

Which of them is the most stable, and which is the least stable? x) and w), in that order.

=====

w) VASP calculation (PBE-GGA) on crystalline TmZrGa at its relaxed geometry.

Unit cell a=4.8163 b=4.8163 c=3.4692 alpha=90.00 beta=90.00 gamma=120.00
Fractional coordinates of all 3 atoms:
Tm (0.0000, 0.0000, 0.0000)
Zr (0.3333, 0.6667, 0.5220)
Ga (0.6667, 0.3333, 0.4040)

Computed properties:
As for the density of states at the Fermi level: 1.16 states/eV per atom. The calculated volume is 23.23 Å³/atom. The space group is No. 156.

=====

x) VASP calculation (PBE-GGA) on crystalline TmZrGa at its relaxed geometry.

Unit cell a=6.5993 b=6.5993 c=6.5993 alpha=150.91 beta=150.91 gamma=41.61
Fractional coordinates of all 3 atoms:
Tm (0.0000, 0.0000, 0.0000)
Zr (0.3100, 0.3100, 0.0000)
Ga (0.6628, 0.6628, 0.0000)

Computed properties:
As for the density of states at the Fermi level: 0.79 states/eV per atom. The calculated volume is 22.60 Å³/atom. The space group is No. 107.

=====

y) VASP calculation (PBE-GGA) on crystalline TmZrGa at its relaxed geometry.

Unit cell a=4.2168 b=4.2168 c=7.8349 alpha=90.00 beta=90.00 gamma=90.00
Fractional coordinates of all 6 atoms:
Tm (0.2500, 0.2500, 0.1511)
Tm (0.7500, 0.7500, 0.8489)
Zr (0.2500, 0.7500, 0.5000)
Zr (0.7500, 0.2500, 0.5000)
Ga (0.2500, 0.2500, 0.7639)
Ga (0.7500, 0.7500, 0.2361)

Computed properties:
As for the density of states at the Fermi level: 0.76 states/eV per atom. The calculated volume is 23.22 Å³/atom. The space group is No. 129.

=====

z) VASP calculation (PBE-GGA) on crystalline TmZrGa at its relaxed geometry.

Unit cell a=3.3244 b=3.3295 c=14.8743 alpha=83.67 beta=83.70 gamma=60.21
Fractional coordinates of all 6 atoms:
Tm (0.1296, 0.1328, 0.1058)
Tm (0.8704, 0.8672, 0.8942)
Zr (0.2610, 0.2594, 0.7189)
Zr (0.7390, 0.7406, 0.2811)
Ga (0.3557, 0.3535, 0.4340)
Ga (0.6443, 0.6465, 0.5660)

Computed properties:
As for the density of states at the Fermi level: 1.01 states/eV per atom. The calculated volume is 23.62 Å³/atom. The space group is No. 2.

=====

Which of them is the most stable, and which is the least stable? y) and z), in that order.

=====

w) VASP calculation (PBE-GGA) on crystalline TmZr2Ga at its relaxed geometry.

Unit cell a=4.4396 b=4.4396 c=4.4338 alpha=90.00 beta=90.00 gamma=90.00
Fractional coordinates of all 4 atoms:
Tm (0.0000, 0.0000, 0.0000)
Zr (0.0000, 0.5000, 0.5000)
Zr (0.5000, 0.0000, 0.5000)
Ga (0.5000, 0.5000, 0.0000)

Computed properties:
As for the density of states at the Fermi level: 0.93 states/eV per atom. The calculated volume is 21.85 Å³/atom. The space group is No. 123.

=====

x) VASP calculation (PBE-GGA) on crystalline TmZr2Ga at its relaxed geometry.

Unit cell a=3.2242 b=3.2242 c=8.6931 alpha=90.00 beta=90.00 gamma=90.00
Fractional coordinates of all 4 atoms:
Tm (0.0000, 0.0000, 0.0000)
Zr (0.5000, 0.5000, 0.2841)
Zr (0.5000, 0.5000, 0.7159)
Ga (0.0000, 0.0000, 0.5000)

Computed properties:
As for the density of states at the Fermi level: 1.27 states/eV per atom. The calculated volume is 22.59 Å³/atom. The space group is No. 123.

=====

y) VASP calculation (PBE-GGA) on crystalline TmZr2Ga at its relaxed geometry.

Unit cell a=9.9894 b=9.9894 c=9.9894 alpha=19.05 beta=19.05 gamma=19.05
Fractional coordinates of all 4 atoms:
Tm (0.0000, 0.0000, 0.0000)
Zr (0.2423, 0.2423, 0.2423)
Zr (0.4236, 0.4236, 0.4236)
Ga (0.8332, 0.8332, 0.8332)

Computed properties:
As for the density of states at the Fermi level: 1.13 states/eV per atom. The calculated volume is 23.19 Å³/atom. The space group is No. 160.

=====

z) VASP calculation (PBE-GGA) on crystalline TmZr2Ga at its relaxed geometry.

Unit cell a=4.3157 b=4.1876 c=10.5182 alpha=90.00 beta=101.82 gamma=90.00
Fractional coordinates of all 8 atoms:
Tm (0.1941, 0.2500, 0.3890)
Tm (0.8059, 0.7500, 0.6110)
Zr (0.0600, 0.7500, 0.1204)
Zr (0.4431, 0.7500, 0.8859)
Zr (0.5569, 0.2500, 0.1141)
Zr (0.9400, 0.2500, 0.8796)
Ga (0.3396, 0.2500, 0.6788)
Ga (0.6604, 0.7500, 0.3212)

Computed properties:
As for the density of states at the Fermi level: 1.01 states/eV per atom. The calculated volume is 23.26 Å³/atom. The space group is No. 11.

=====

Which of them is the most stable, and which is the least stable? z) and y), in that order.

=====

w) VASP calculation (PBE-GGA) on crystalline TmZr2Ga6 at its relaxed geometry.

Unit cell a=7.2063 b=7.2063 c=3.7331 alpha=90.00 beta=90.00 gamma=120.00
Fractional coordinates of all 9 atoms:
Tm (0.0000, 0.0000, 0.0000)
Zr (0.3333, 0.6667, 0.0000)
Zr (0.6667, 0.3333, 0.0000)
Ga (0.0000, 0.3352, 0.5000)
Ga (0.0000, 0.6648, 0.5000)
Ga (0.3352, 0.0000, 0.5000)
Ga (0.3352, 0.3352, 0.5000)
Ga (0.6648, 0.0000, 0.5000)
Ga (0.6648, 0.6648, 0.5000)

Computed properties:
As for the density of states at the Fermi level: 0.40 states/eV per atom. The calculated volume is 18.65 Å³/atom. The space group is No. 191.

=====

x) VASP calculation (PBE-GGA) on crystalline TmZr2Ga6 at its relaxed geometry.

Unit cell a=7.6097 b=7.6097 c=7.6097 alpha=148.39 beta=127.93 gamma=62.20
Fractional coordinates of all 9 atoms:
Tm (0.0000, 0.0000, 0.0000)
Zr (0.3806, 0.8806, 0.5000)
Zr (0.6194, 0.1194, 0.5000)
Ga (0.0130, 0.3104, 0.7026)
Ga (0.3089, 0.5000, 0.8089)
Ga (0.3922, 0.6896, 0.7026)
Ga (0.6078, 0.3104, 0.2974)
Ga (0.6911, 0.5000, 0.1911)
Ga (0.9870, 0.6896, 0.2974)

Computed properties:
As for the density of states at the Fermi level: 0.52 states/eV per atom. The calculated volume is 20.05 Å³/atom. The space group is No. 71.

=====

Which of them is the most stable, and which is the least stable? w) and x), in that order.